VASP calculation (PBE) on crystalline Li2In at its relaxed geometry.

Crystal system: cubic
Volume, Å³ per atom: 24.2
VASP energy, eV/atom: -2.14
N(E_F), states/eV/cell: 2.59

a b c (Å): 4.6800 4.6800 4.6800
angles (deg): 60.00 60.00 60.00
Closest atoms and distances in Å follow each position.
Fractional positions:
In1 0.0000 0.0000 0.0000  8 Li 2.87
Li1 0.2500 0.2500 0.2500  4 In 2.87
Li2 0.7500 0.7500 0.7500  4 In 2.87


VASP calculation (PBE) on crystalline In11Sn4Pb9 at its relaxed geometry.

Crystal system: orthorhombic
Volume, Å³ per atom: 29.1
VASP energy, eV/atom: -3.29
N(E_F), states/eV/cell: 9.48

a b c (Å): 3.5986 14.0393 14.0393
angles (deg): 100.08 90.00 90.00
Closest atoms and distances in Å follow each position.
Fractional positions:
In1 0.0000 0.5795 0.9299  3 In 3.23-3.60, 2 Sn 3.25, 6 Pb 3.41-3.53
In2 0.0000 0.4205 0.0701  3 In 3.23-3.60, 2 Sn 3.25, 6 Pb 3.41-3.53
In3 0.0000 0.9299 0.5795  3 In 3.23-3.60, 2 Sn 3.25, 6 Pb 3.41-3.53
In4 0.0000 0.0701 0.4205  3 In 3.23-3.60, 2 Sn 3.25, 6 Pb 3.41-3.53
In5 0.0000 0.6481 0.3519  4 Sn 3.29, 6 Pb 3.46-3.66, 2 In 3.60
In6 0.0000 0.3519 0.6481  4 Sn 3.29, 6 Pb 3.46-3.66, 2 In 3.60
In7 0.0000 0.8444 0.1556  3 In 3.35-3.60, 8 Pb 3.38
In8 0.0000 0.1556 0.8444  3 In 3.35-3.60, 8 Pb 3.38
In9 0.0000 0.0000 0.0000  4 In 3.35-3.60, 8 Pb 3.44
In10 0.0000 0.7377 0.7377  4 Sn 3.25, 4 Pb 3.44, 2 In 3.60
In11 0.0000 0.2623 0.2623  4 Sn 3.25, 4 Pb 3.44, 2 In 3.60
Sn1 0.5000 0.5443 0.7342  2 Pb 3.24-3.36, 6 In 3.25-3.29, 2 Sn 3.60
Sn2 0.5000 0.4557 0.2658  2 Pb 3.24-3.36, 6 In 3.25-3.29, 2 Sn 3.60
Sn3 0.5000 0.7342 0.5443  2 Pb 3.24-3.36, 6 In 3.25-3.29, 2 Sn 3.60
Sn4 0.5000 0.2658 0.4557  2 Pb 3.24-3.36, 6 In 3.25-3.29, 2 Sn 3.60
Pb1 0.5000 0.6380 0.1399  1 Sn 3.36, 8 In 3.38-3.53, 3 Pb 3.60-3.68
Pb2 0.5000 0.3620 0.8601  1 Sn 3.36, 8 In 3.38-3.53, 3 Pb 3.60-3.68
Pb3 0.5000 0.1399 0.6380  1 Sn 3.36, 8 In 3.38-3.53, 3 Pb 3.60-3.68
Pb4 0.5000 0.8601 0.3620  1 Sn 3.36, 8 In 3.38-3.53, 3 Pb 3.60-3.68
Pb5 0.5000 0.7884 0.9495  8 In 3.38-3.44, 4 Pb 3.47-3.68
Pb6 0.5000 0.2116 0.0505  8 In 3.38-3.44, 4 Pb 3.47-3.68
Pb7 0.5000 0.9495 0.7884  8 In 3.38-3.44, 4 Pb 3.47-3.68
Pb8 0.5000 0.0505 0.2116  8 In 3.38-3.44, 4 Pb 3.47-3.68
Pb9 0.5000 0.5000 0.5000  4 Sn 3.24, 2 Pb 3.60


VASP calculation (PBE) on crystalline Na5AgHg4 at its relaxed geometry.

Crystal system: tetragonal
Volume, Å³ per atom: 25.4
VASP energy, eV/atom: -1.26
N(E_F), states/eV/cell: 3.41

a b c (Å): 3.7472 3.7472 18.0672
angles (deg): 90.00 90.00 90.00
Closest atoms and distances in Å follow each position.
Fractional positions:
Na1 0.5000 0.5000 0.0919  4 Ag 3.13, 4 Hg 3.19, 1 Na 3.32
Na2 0.5000 0.5000 0.2941  8 Hg 3.24
Na3 0.5000 0.5000 0.5000  8 Hg 3.23
Na4 0.5000 0.5000 0.7059  8 Hg 3.24
Na5 0.5000 0.5000 0.9081  4 Ag 3.13, 4 Hg 3.19, 1 Na 3.32
Ag1 0.0000 0.0000 0.0000  8 Na 3.13, 2 Hg 3.45
Hg1 0.0000 0.0000 0.1907  8 Na 3.19-3.24, 1 Ag 3.45
Hg2 0.0000 0.0000 0.3975  8 Na 3.23-3.24
Hg3 0.0000 0.0000 0.6025  8 Na 3.23-3.24
Hg4 0.0000 0.0000 0.8093  8 Na 3.19-3.24, 1 Ag 3.45


VASP calculation (PBE) on crystalline YReNi2 at its relaxed geometry.

Crystal system: tetragonal
E above lowest polymorph, meV per atom: 219
Volume, Å³ per atom: 15.7
VASP energy, eV/atom: -7.49
N(E_F), states/eV/cell: 4.11

a b c (Å): 3.0896 3.0952 6.5870
angles (deg): 90.00 90.00 90.00
Closest atoms and distances in Å follow each position.
Fractional positions:
Ni1 0.0000 0.0000 0.0558  4 Ni 2.50, 1 Re 2.51
Ni2 0.5000 0.5000 0.2406  4 Ni 2.50, 4 Re 2.54
Re1 0.0000 0.0000 0.4361  5 Ni 2.51-2.54
Y1 0.5000 0.5000 0.7675  5 Ni 2.90-3.12, 4 Y 3.09-3.10, 4 Re 3.09


VASP calculation (PBE) on crystalline TcOsIN2 at its relaxed geometry.

Crystal system: tetragonal
E above lowest polymorph, meV per atom: 209
Volume, Å³ per atom: 17.5
Raw formation energy, eV/atom: 1.57
VASP energy, eV/atom: -6.39
N(E_F), states/eV/cell: 5.83

a b c (Å): 3.8282 3.8282 5.9749
angles (deg): 90.00 90.00 90.00
Closest atoms and distances in Å follow each position.
Fractional positions:
I1 0.0000 0.0000 0.5000  4 Os 2.71, 2 Tc 2.99
Os1 0.5000 0.5000 0.5000  4 I 2.71
Tc1 0.0000 0.0000 0.0000  4 N 1.91
N1 0.0000 0.5000 0.0000  2 Tc 1.91
N2 0.5000 0.0000 0.0000  2 Tc 1.91


VASP calculation (PBE) on crystalline CdSbTe2 at its relaxed geometry.

Crystal system: orthorhombic
E above lowest polymorph, meV per atom: 147
Volume, Å³ per atom: 30.5
Raw formation energy, eV/atom: -0.01
VASP energy, eV/atom: -2.84
N(E_F), states/eV/cell: 1.86

a b c (Å): 7.9114 7.9114 7.9114
angles (deg): 150.15 150.23 42.66
Closest atoms and distances in Å follow each position.
Fractional positions:
Sb1 0.2041 0.7041 0.5000  6 Te 3.16-3.19
Te1 0.0374 0.0374 0.0000  4 Cd 3.07, 2 Sb 3.19
Te2 0.7934 0.2934 0.5000  4 Sb 3.16, 2 Cd 3.25
Cd1 0.4651 0.4651 0.0000  6 Te 3.07-3.25


VASP calculation (PBE) on crystalline K2Pu2InSe6 at its relaxed geometry.

Crystal system: monoclinic
Volume, Å³ per atom: 32.0
Raw formation energy, eV/atom: -1.17
VASP energy, eV/atom: -6.13
N(E_F), states/eV/cell: 20.27

a b c (Å): 7.2132 7.2132 8.1823
angles (deg): 98.20 98.20 120.22
Closest atoms and distances in Å follow each position.
Fractional positions:
K1 0.8344 0.1656 0.0000  6 Se 3.34-3.38
K2 0.1656 0.8344 0.0000  6 Se 3.34-3.38
Pu1 0.3332 0.6668 0.5000  6 Se 2.86-2.88
Pu2 0.6668 0.3332 0.5000  6 Se 2.86-2.88
In1 0.0000 0.0000 0.5000  6 Se 2.79-2.87
Se1 0.7397 0.7397 0.6965  1 In 2.79, 2 Pu 2.88
Se2 0.0648 0.3989 0.6994  2 Pu 2.86, 1 In 2.87
Se3 0.2603 0.2603 0.3035  1 In 2.79, 2 Pu 2.88
Se4 0.3989 0.0648 0.6994  2 Pu 2.86, 1 In 2.87
Se5 0.9352 0.6011 0.3006  2 Pu 2.86, 1 In 2.87
Se6 0.6011 0.9352 0.3006  2 Pu 2.86, 1 In 2.87


VASP calculation (PBE) on crystalline LaPr7Y2 at its relaxed geometry.

Crystal system: triclinic
E above lowest polymorph, meV per atom: 0
Volume, Å³ per atom: 35.6
VASP energy, eV/atom: -5.12
N(E_F), states/eV/cell: 17.39

a b c (Å): 6.4105 9.7682 6.3747
angles (deg): 108.97 80.40 77.23
Closest atoms and distances in Å follow each position.
Fractional positions:
La1 0.0000 0.0000 0.0000  10 Pr 3.68-3.71, 2 Y 3.71
Pr1 0.9024 0.6981 0.2006  3 Y 3.66-3.69, 8 Pr 3.67-3.71, 1 La 3.70
Pr2 0.0976 0.3019 0.7994  3 Y 3.66-3.69, 8 Pr 3.67-3.71, 1 La 3.70
Pr3 0.6024 0.7968 0.7982  3 Y 3.64-3.70, 7 Pr 3.67-3.75, 2 La 3.71
Pr4 0.3976 0.2032 0.2018  3 Y 3.64-3.70, 7 Pr 3.67-3.75, 2 La 3.71
Pr5 0.3010 0.8988 0.4009  2 La 3.68-3.70, 9 Pr 3.68-3.72, 1 Y 3.69
Pr6 0.6990 0.1012 0.5991  2 La 3.68-3.70, 9 Pr 3.68-3.72, 1 Y 3.69
Pr7 0.5000 0.5000 0.0000  8 Pr 3.67-3.71, 4 Y 3.68
Y1 0.2017 0.5975 0.5983  9 Pr 3.64-3.70, 2 Y 3.67-3.69, 1 La 3.71
Y2 0.7983 0.4025 0.4017  9 Pr 3.64-3.70, 2 Y 3.67-3.69, 1 La 3.71


VASP calculation (PBE) on crystalline Cd3TeBr at its relaxed geometry.

Crystal system: cubic
E above lowest polymorph, meV per atom: 0
Volume, Å³ per atom: 40.1
Raw formation energy, eV/atom: 0.02
VASP energy, eV/atom: -1.49
N(E_F), states/eV/cell: 2.18

a b c (Å): 5.8519 5.8519 5.8519
angles (deg): 90.00 90.00 90.00
Closest atoms and distances in Å follow each position.
Fractional positions:
Te1 0.0000 0.0000 0.0000  6 Cd 2.93
Br1 0.5000 0.5000 0.5000  12 Cd 4.14
Cd1 0.0000 0.5000 0.0000  2 Te 2.93
Cd2 0.0000 0.0000 0.5000  2 Te 2.93
Cd3 0.5000 0.0000 0.0000  2 Te 2.93


VASP calculation (PBE) on crystalline Cu2HgGe2 at its relaxed geometry.

Crystal system: tetragonal
E above lowest polymorph, meV per atom: 7
Volume, Å³ per atom: 17.4
VASP energy, eV/atom: -3.32
N(E_F), states/eV/cell: 2.55

a b c (Å): 3.7955 3.7955 6.6140
angles (deg): 73.33 73.33 90.00
Closest atoms and distances in Å follow each position.
Fractional positions:
Ge1 0.7500 0.2500 0.5000  4 Cu 2.60, 4 Ge 2.68
Ge2 0.2500 0.7500 0.5000  4 Cu 2.60, 4 Ge 2.68
Hg1 0.0000 0.0000 0.0000  8 Cu 2.96
Cu1 0.3971 0.3971 0.2058  1 Cu 2.49, 4 Ge 2.60
Cu2 0.6029 0.6029 0.7942  1 Cu 2.49, 4 Ge 2.60


VASP calculation (PBE) on crystalline Y2Co3B4 at its relaxed geometry.

Crystal system: orthorhombic
Volume, Å³ per atom: 13.2
VASP energy, eV/atom: -6.82
N(E_F), states/eV/cell: 5.92

a b c (Å): 4.8116 4.8116 6.3308
angles (deg): 101.39 101.39 118.71
Closest atoms and distances in Å follow each position.
Fractional positions:
Y1 0.6492 0.6492 0.2983  8 B 2.78-3.01, 6 Co 2.97-3.01
Y2 0.3508 0.3508 0.7017  8 B 2.78-3.01, 6 Co 2.97-3.01
Co1 0.5000 0.0000 0.0000  4 B 2.00
Co2 0.0000 0.0000 0.0000  4 B 1.99
Co3 0.0000 0.5000 0.0000  4 B 2.00
B1 0.0446 0.7110 0.7556  3 Co 1.99-2.00
B2 0.7110 0.0446 0.7556  3 Co 1.99-2.00
B3 0.9554 0.2890 0.2444  3 Co 1.99-2.00
B4 0.2890 0.9554 0.2444  3 Co 1.99-2.00


VASP calculation (PBE) on crystalline Ca2Tb2Y at its relaxed geometry.

Crystal system: tetragonal
Volume, Å³ per atom: 35.1
VASP energy, eV/atom: -3.70
N(E_F), states/eV/cell: 16.18

a b c (Å): 9.4752 9.4752 3.9093
angles (deg): 90.00 90.00 90.00
Closest atoms and distances in Å follow each position.
Fractional positions:
Ca1 0.3268 0.8268 0.5000  6 Tb 3.33-3.47
Ca2 0.8268 0.6732 0.5000  6 Tb 3.33-3.47
Ca3 0.6732 0.1732 0.5000  6 Tb 3.33-3.47
Ca4 0.1732 0.3268 0.5000  6 Tb 3.33-3.47
Tb1 0.1252 0.6252 0.0000  6 Ca 3.33-3.47, 1 Tb 3.36
Tb2 0.6252 0.8748 0.0000  6 Ca 3.33-3.47, 1 Tb 3.36
Tb3 0.8748 0.3748 0.0000  6 Ca 3.33-3.47, 1 Tb 3.36
Tb4 0.3748 0.1252 0.0000  6 Ca 3.33-3.47, 1 Tb 3.36
Y1 0.0000 0.0000 0.0000  4 Tb 3.74, 2 Y 3.91, 8 Ca 4.01
Y2 0.5000 0.5000 0.0000  4 Tb 3.74, 2 Y 3.91, 8 Ca 4.01